(1)
Computed, not measured: a relaxed Rb2MnSbI6 crystal at the PBE level of DFT.

Values from the calculation:
**Volume**: 432.4 Å³/f.u.
**Energy relative to the elements, uncorrected**: -0.708 eV per atom

Unit cell a=8.4920 b=8.4920 c=8.4920 alpha=120.09 beta=120.09 gamma=89.84
Fractional coordinates of all 10 atoms:
1 Rb 0.2500 0.7500 0.5000
2 Rb 0.7500 0.2500 0.5000
3 Mn 0.0000 0.0000 0.0000
4 Sb 0.5000 0.5000 0.0000
5 I 0.2401 0.2401 0.0000
6 I 0.2414 0.2414 0.4828
7 I 0.2414 0.7586 0.0000
8 I 0.7586 0.2414 0.0000
9 I 0.7586 0.7586 0.5172
10 I 0.7599 0.7599 0.0000

(2)
Computed, not measured: a relaxed AsBrF crystal at the PBE level of DFT.

Values from the calculation:
**Energy above the lowest structure with this stoichiometry**: 268 meV/atom
**Volume**: 82.2 Å³/f.u.
**Energy relative to the elements, uncorrected**: -0.792 eV per atom

Unit cell a=4.2549 b=7.6977 c=10.0386 alpha=90.00 beta=90.00 gamma=90.00
Fractional coordinates of all 12 atoms:
1 As 0.2096 0.0022 0.4348
2 As 0.2904 0.9978 0.9348
3 As 0.7096 0.4978 0.5652
4 As 0.7904 0.5022 0.0652
5 Br 0.0291 0.7184 0.6589
6 Br 0.4709 0.2816 0.1589
7 Br 0.5291 0.7816 0.3411
8 Br 0.9709 0.2184 0.8411
9 F 0.0205 0.3830 0.4795
10 F 0.4795 0.6170 0.9795
11 F 0.5205 0.1170 0.5205
12 F 0.9795 0.8830 0.0205